The following is a PBE calculation of KSn3Cl after structural relaxation, from Alexandria.

Summary:
The raw formation energy is 1.0031 eV per atom.

Unit cell a=6.0983 b=6.0983 c=6.0983 alpha=90.00 beta=90.00 gamma=90.00
Fractional coordinates of all 5 atoms:
K 0.0000 0.0000 0.0000
Sn 0.0000 0.5000 0.0000
Sn 0.0000 0.0000 0.5000
Sn 0.5000 0.0000 0.0000
Cl 0.5000 0.5000 0.5000